1.
{
  "formula": "GaAg2Br4",
  "functional": "PBE",
  "state": "optimized geometry",
  "lattice_angstrom": [[-3.084, 3.084, 6.181], [3.084, -3.084, 6.181], [3.084, 3.084, -6.181]],
  "species": ["Ga", "Ag", "Ag", "Br", "Br", "Br", "Br"],
  "fractional_positions": [[0.000, 0.000, 0.000], [0.250, 0.750, 0.500], [0.750, 0.250, 0.500], [0.133, 0.631, 0.000], [0.369, 0.369, 0.502], [0.631, 0.133, 0.000], [0.867, 0.867, 0.498]],
  "total_energy_ev_per_cell": -18.29,
  "n_ef_per_ev_fu": 4.657,
  "spacegroup": "I-42m (121)"
}

=====

2.
{
  "formula": "GaAgBr4",
  "functional": "PBE",
  "state": "optimized geometry",
  "lattice_angstrom": [[6.853, 0.000, 0.000], [0.000, 6.866, 0.000], [0.000, 0.000, 11.217]],
  "species": ["Ga", "Ga", "Ag", "Ag", "Br", "Br", "Br", "Br", "Br", "Br", "Br", "Br"],
  "fractional_positions": [[0.000, 0.000, 0.000], [0.500, 0.000, 0.500], [0.000, 0.000, 0.500], [0.000, 0.500, 0.000], [0.198, 0.210, 0.882], [0.198, 0.790, 0.118], [0.292, 0.200, 0.383], [0.292, 0.800, 0.617], [0.708, 0.200, 0.617], [0.708, 0.800, 0.383], [0.802, 0.210, 0.118], [0.802, 0.790, 0.882]],
  "total_energy_ev_per_cell": -33.23,
  "n_ef_per_ev_fu": 0.000,
  "de_polymorph_ev_per_atom": 0.000,
  "spacegroup": "P222 (16)"
}

=====

3.
{
  "formula": "Ga6AgBr12",
  "functional": "PBE",
  "state": "optimized geometry",
  "lattice_angstrom": [[8.876, 5.124, 3.291], [-8.876, 5.124, 3.291], [0.000, -10.249, 3.291]],
  "species": ["Ga", "Ga", "Ga", "Ga", "Ga", "Ga", "Ag", "Br", "Br", "Br", "Br", "Br", "Br", "Br", "Br", "Br", "Br", "Br", "Br"],
  "fractional_positions": [[0.246, 0.383, 0.497], [0.383, 0.497, 0.246], [0.497, 0.246, 0.383], [0.503, 0.754, 0.617], [0.617, 0.503, 0.754], [0.754, 0.617, 0.503], [0.500, 0.500, 0.500], [0.017, 0.839, 0.685], [0.161, 0.315, 0.983], [0.245, 0.635, 0.609], [0.315, 0.983, 0.161], [0.365, 0.391, 0.755], [0.391, 0.755, 0.365], [0.609, 0.245, 0.635], [0.635, 0.609, 0.245], [0.685, 0.017, 0.839], [0.755, 0.365, 0.391], [0.839, 0.685, 0.017], [0.983, 0.161, 0.315]],
  "total_energy_ev_per_cell": -52.08,
  "n_ef_per_ev_fu": 13.790,
  "spacegroup": "R-3 (148)"
}

=====

4.
{
  "formula": "InGa2AgBr8",
  "functional": "PBE",
  "state": "optimized geometry",
  "lattice_angstrom": [[6.868, 0.000, 0.000], [-3.434, 5.948, 0.000], [0.000, 0.000, 9.924]],
  "species": ["In", "Ga", "Ga", "Ag", "Br", "Br", "Br", "Br", "Br", "Br", "Br", "Br"],
  "fractional_positions": [[0.000, 0.000, 0.000], [0.333, 0.667, 0.755], [0.667, 0.333, 0.245], [0.000, 0.000, 0.500], [0.008, 0.332, 0.683], [0.324, 0.992, 0.683], [0.332, 0.324, 0.317], [0.333, 0.667, 0.993], [0.667, 0.333, 0.007], [0.668, 0.676, 0.683], [0.676, 0.008, 0.317], [0.992, 0.668, 0.317]],
  "total_energy_ev_per_cell": -33.64,
  "n_ef_per_ev_fu": 0.000,
  "spacegroup": "P-3 (147)"
}

=====

Q: Which formula does entry 3 have?
A: Ga6AgBr12